DFT (PBE-GGA) results for crystalline Cs2RbSrCl at its relaxed geometry.

Values from the calculation:
- uncorrected formation energy (eV per atom) = -0.616
- calculated total energy (eV/cell) = -9.3
- V (Å³ per cell) = 340.5

abc: 7.058 7.058 6.835
angles: 90.00 90.00 90.00
Positions (direct):
Cs  0.000  0.500  0.000
Cs  0.500  0.000  0.000
Sr  0.500  0.500  0.500
Rb  0.000  0.000  0.500
Cl  0.000  0.000  0.000